Computed, not measured: crystalline Mg2TcI at its relaxed geometry at the PBE level of DFT.

```
Mg2TcI
1.0
7.021 0.000 0.000
0.000 7.021 0.000
0.000 0.000 7.021
Mg Tc I
8 4 4
direct
0.250 0.250 0.250 Mg
0.250 0.250 0.750 Mg
0.250 0.750 0.250 Mg
0.250 0.750 0.750 Mg
0.750 0.250 0.250 Mg
0.750 0.250 0.750 Mg
0.750 0.750 0.250 Mg
0.750 0.750 0.750 Mg
0.000 0.000 0.000 Tc
0.000 0.500 0.500 Tc
0.500 0.000 0.500 Tc
0.500 0.500 0.000 Tc
0.000 0.000 0.500 I
0.000 0.500 0.000 I
0.500 0.000 0.000 I
0.500 0.500 0.500 I
```

Output
The value obtained for the energy above the most stable polymorph in this dataset is 87.2 meV/atom. Its raw formation energy is 754 meV/atom. As for the space-group type: No. 225. As for the magnetic moment: 1.985 μB per formula unit. The calculated total energy comes out at -48.4 eV for the cell shown.